A plane-wave DFT calculation with GGA-PBE was carried out for a relaxed HoCd2Hg5 crystal.

It has space group I4mm (No. 107), with a = 7.4050 Å, b = 7.4050 Å, c = 7.1195 Å, α = 90.00°, β = 90.00° and γ = 90.00°. The distinct sites, in fractional coordinates, are Ho at (0.0000, 0.0000, 0.0000), Cd at (0.0000, 0.5000, 0.0005), Hg at (0.0000, 0.0000, 0.5010) and Hg at (0.2498, 0.2498, 0.2504).

As for the total magnetic moment: 0.000 μB/atom. The value obtained for the volume is 24.40 A^3/atom. The energy above the most stable polymorph in this dataset comes out at 0.0 meV/atom.